## NaPt2Pb3 (GGA-PBE)

Data for crystalline NaPt2Pb3 at its relaxed geometry.

Cell lengths 10.5136, 10.5136, 8.0807 Å; angles 97.96, 97.96, 20.97 degrees
Atoms (fractional coordinates):
Na 0.1675 0.1675 0.4989
Na 0.8325 0.8325 0.5011
Pt 0.1553 0.1553 0.9387
Pt 0.4484 0.4484 0.6079
Pt 0.5516 0.5516 0.3921
Pt 0.8447 0.8447 0.0613
Pb 0.0592 0.0592 0.1533
Pb 0.2815 0.2815 0.8363
Pb 0.4169 0.4169 0.2621
Pb 0.5831 0.5831 0.7379
Pb 0.7185 0.7185 0.1637
Pb 0.9408 0.9408 0.8467

Output
Its total magnetization is 0.0 μB/f.u. The calculation puts the calculated volume at 317 Å³ per cell. The value obtained for the density of states at the Fermi level is 0.477 states/eV/atom. Its calculated formation energy is -0.16 eV per atom. The distance to the lowest polymorph of the same formula comes out at 56 meV/atom.

## Pa2BeGa (GGA-PBE)

Data for crystalline Pa2BeGa at its relaxed geometry.

Cell lengths 4.2872, 4.2872, 4.2643 Å; angles 90.00, 90.00, 90.00 degrees
Atoms (fractional coordinates):
Pa 0.0000 0.5000 0.0000
Pa 0.5000 0.0000 0.0000
Be 0.0000 0.0000 0.5000
Ga 0.5000 0.5000 0.5000

Output
Its total magnetization is 0.0 μB/f.u. The calculation puts the calculated volume at 78 Å³ per cell. The value obtained for the density of states at the Fermi level is 1.201 states/eV/atom. Its calculated formation energy is -0.01 eV per atom. The distance to the lowest polymorph of the same formula comes out at 0 meV/atom.

## KMgSe (GGA-PBE)

Data for crystalline KMgSe at its relaxed geometry.

Cell lengths 6.8719, 6.8719, 6.8719 Å; angles 148.33, 148.33, 45.40 degrees
Atoms (fractional coordinates):
K 0.0000 0.0000 0.0000
Mg 0.2693 0.2693 0.0000
Se 0.7016 0.7016 0.0000

Output
Its total magnetization is 0.8 μB/f.u. The calculation puts the calculated volume at 89 Å³ per cell. The value obtained for the density of states at the Fermi level is 0.371 states/eV/atom. The distance to the lowest polymorph of the same formula comes out at 301 meV/atom. The energy relative to the elements, uncorrected comes out at -650.5 meV/atom.

## K3AuF6 (GGA-PBE)

Data for crystalline K3AuF6 at its relaxed geometry.

Cell lengths 6.6934, 6.9867, 8.4272 Å; angles 89.34, 87.32, 76.13 degrees
Atoms (fractional coordinates):
K 0.0000 0.0000 0.0000
K 0.0126 0.4666 0.2428
K 0.4608 0.0612 0.7383
K 0.5000 0.5000 0.5000
K 0.5392 0.9388 0.2617
K 0.9874 0.5334 0.7572
Au 0.0000 0.0000 0.5000
Au 0.5000 0.5000 0.0000
F 0.0967 0.0598 0.2849
F 0.2099 0.2648 0.9626
F 0.2219 0.3088 0.5428
F 0.2838 0.8556 0.5396
F 0.3321 0.7115 0.8708
F 0.3545 0.6263 0.1961
F 0.6455 0.3737 0.8039
F 0.6679 0.2885 0.1292
F 0.7162 0.1444 0.4604
F 0.7781 0.6912 0.4572
F 0.7901 0.7352 0.0374
F 0.9033 0.9402 0.7151

Output
Its total magnetization is 0.0 μB/f.u. The calculation puts the calculated volume at 382 Å³ per cell. The energy relative to the elements, uncorrected comes out at -2120.6 meV/atom.

## LiEuNiSn (GGA-PBE)

Data for crystalline LiEuNiSn at its relaxed geometry.

Cell lengths 4.7796, 4.7796, 4.7796 Å; angles 60.00, 60.00, 60.00 degrees
Atoms (fractional coordinates):
Li 0.0000 0.0000 0.0000
Eu 0.7500 0.7500 0.7500
Ni 0.5000 0.5000 0.5000
Sn 0.2500 0.2500 0.2500

Output
Its total magnetization is 6.5 μB/f.u. The calculation puts the calculated volume at 77 Å³ per cell. The value obtained for the density of states at the Fermi level is 2.873 states/eV/atom. Its calculated formation energy is -0.35 eV per atom.

## Ta2VIrC (GGA-PBE)

Data for crystalline Ta2VIrC at its relaxed geometry.

Cell lengths 4.2851, 4.2851, 3.9002 Å; angles 90.00, 90.00, 90.00 degrees
Atoms (fractional coordinates):
Ta 0.0000 0.5000 0.0000
Ta 0.5000 0.0000 0.0000
V 0.0000 0.0000 0.5000
Ir 0.5000 0.5000 0.5000
C 0.0000 0.0000 0.0000

Output
Its total magnetization is 0.0 μB/f.u. The calculation puts the calculated volume at 72 Å³ per cell. The value obtained for the density of states at the Fermi level is 0.465 states/eV/atom. Its calculated formation energy is -0.40 eV per atom.

## La5Tl (GGA-PBE)

Data for crystalline La5Tl at its relaxed geometry.

Cell lengths 5.6940, 5.6940, 7.0561 Å; angles 92.19, 92.19, 63.53 degrees
Atoms (fractional coordinates):
La 0.0000 0.0000 0.0000
La 0.3362 0.3362 0.3559
La 0.3494 0.3494 0.8672
La 0.6506 0.6506 0.1328
La 0.6638 0.6638 0.6441
Tl 0.0000 0.0000 0.5000

Output
Its total magnetization is 0.0 μB/f.u. The calculation puts the calculated volume at 205 Å³ per cell. The value obtained for the density of states at the Fermi level is 1.256 states/eV/atom. Its calculated formation energy is -0.09 eV per atom. The distance to the lowest polymorph of the same formula comes out at 43 meV/atom.

## La2Co2Au (GGA-PBE)

Data for crystalline La2Co2Au at its relaxed geometry.

Cell lengths 7.2821, 7.2821, 3.9685 Å; angles 90.00, 90.00, 90.00 degrees
Atoms (fractional coordinates):
La 0.1838 0.3162 0.0000
La 0.3162 0.8162 0.0000
La 0.6838 0.1838 0.0000
La 0.8162 0.6838 0.0000
Co 0.1108 0.6108 0.5000
Co 0.3892 0.1108 0.5000
Co 0.6108 0.8892 0.5000
Co 0.8892 0.3892 0.5000
Au 0.0000 0.0000 0.5000
Au 0.5000 0.5000 0.5000

Output
Its total magnetization is 0.6 μB/f.u. The calculation puts the calculated volume at 210 Å³ per cell. The value obtained for the density of states at the Fermi level is 0.850 states/eV/atom. Its calculated formation energy is -0.27 eV per atom. The distance to the lowest polymorph of the same formula comes out at 0 meV/atom.

## PuCo4P2 (GGA-PBE)

Data for crystalline PuCo4P2 at its relaxed geometry.

Cell lengths 7.0486, 7.0486, 3.5623 Å; angles 90.00, 90.00, 90.00 degrees
Atoms (fractional coordinates):
Pu 0.0000 0.0000 0.0000
Pu 0.5000 0.5000 0.5000
Co 0.0832 0.3416 0.5000
Co 0.1584 0.5832 0.0000
Co 0.3416 0.0832 0.5000
Co 0.4168 0.8416 0.0000
Co 0.5832 0.1584 0.0000
Co 0.6584 0.9168 0.5000
Co 0.8416 0.4168 0.0000
Co 0.9168 0.6584 0.5000
P 0.2223 0.7777 0.5000
P 0.2777 0.2777 0.0000
P 0.7223 0.7223 0.0000
P 0.7777 0.2223 0.5000

Output
Its total magnetization is 5.7 μB/f.u. The calculation puts the calculated volume at 177 Å³ per cell. The value obtained for the density of states at the Fermi level is 1.753 states/eV/atom. Its calculated formation energy is -0.63 eV per atom.

## Mg3Se5 (GGA-PBE)

Data for crystalline Mg3Se5 at its relaxed geometry.

Cell lengths 11.7179, 11.7179, 4.9746 Å; angles 90.00, 90.00, 120.00 degrees
Atoms (fractional coordinates):
Mg 0.0000 0.1990 0.2500
Mg 0.0000 0.8010 0.7500
Mg 0.1990 0.0000 0.2500
Mg 0.1990 0.1990 0.7500
Mg 0.8010 0.0000 0.7500
Mg 0.8010 0.8010 0.2500
Se 0.0000 0.2459 0.7500
Se 0.0000 0.7541 0.2500
Se 0.2459 0.0000 0.7500
Se 0.2459 0.2459 0.2500
Se 0.3333 0.6667 0.0000
Se 0.3333 0.6667 0.5000
Se 0.6667 0.3333 0.0000
Se 0.6667 0.3333 0.5000
Se 0.7541 0.0000 0.2500
Se 0.7541 0.7541 0.7500

Output
Its total magnetization is 0.0 μB/f.u. The calculation puts the calculated volume at 592 Å³ per cell. The value obtained for the density of states at the Fermi level is 0.371 states/eV/atom. The distance to the lowest polymorph of the same formula comes out at 218 meV/atom. The energy relative to the elements, uncorrected comes out at -595.4 meV/atom.

## ZnSiSb2 (GGA-PBE)

Data for crystalline ZnSiSb2 at its relaxed geometry.

Cell lengths 3.4071, 3.4071, 7.9116 Å; angles 90.00, 90.00, 103.79 degrees
Atoms (fractional coordinates):
Zn 0.0000 0.0000 0.0000
Si 0.0000 0.0000 0.5000
Sb 0.5000 0.5000 0.2562
Sb 0.5000 0.5000 0.7438

Output
Its total magnetization is 0.0 μB/f.u. The calculation puts the calculated volume at 89 Å³ per cell. The value obtained for the density of states at the Fermi level is 0.283 states/eV/atom. The energy relative to the elements, uncorrected comes out at 381.6 meV/atom.